This record from Alexandria describes NaNdZnGa after structural relaxation. The functional is PBE.

It has space group F-43m (No. 216), with a = 7.187 Å, b = 7.187 Å, c = 7.187 Å, α = 90.00°, β = 90.00° and γ = 90.00°. Symmetry generates all atoms from Na at (0.000, 0.000, 0.000), Nd at (0.000, 0.000, 0.500), Zn at (0.250, 0.250, 0.250) and Ga at (0.250, 0.250, 0.750).

For the final energy, the calculation gives -45.2 eV per cell. The crystal system is cubic. As for the energy relative to the elements: -225.8 meV/atom.